No. 1
A plane-wave DFT calculation with PBE was carried out for a geometry-optimized Li2PaGeTe4 structure.

Cell: 4.2838 7.5916 7.3310 Å, 109.13 90.00 90.00°
With the nearest neighbours (Å) after each atom.
Fractional coordinates of all 8 atoms:
1 Li 0.5000 0.0000 0.5000  6 Te 3.00-3.04
2 Li 0.0000 0.5000 0.5000  6 Te 3.06-3.07
3 Pa 0.5000 0.5000 0.0000  6 Te 3.04-3.09
4 Ge 0.0000 0.0000 0.0000  6 Te 3.02-3.03
5 Te 0.5000 0.2476 0.2476  2 Ge 3.03, 3 Li 3.04-3.06, 1 Pa 3.04
6 Te 0.5000 0.7524 0.7524  2 Ge 3.03, 3 Li 3.04-3.06, 1 Pa 3.04
7 Te 0.0000 0.2412 0.7449  3 Li 3.00-3.07, 1 Ge 3.02, 2 Pa 3.09
8 Te 0.0000 0.7588 0.2551  3 Li 3.00-3.07, 1 Ge 3.02, 2 Pa 3.09

Properties
Crystal system ... monoclinic
Space-group type ... P2/m
Total magnetic moment ... 1.0 μB per formula unit
E ... -4.503 eV/atom

No. 2
A plane-wave DFT calculation with PBE was carried out for a geometry-optimized Ba2MnCo structure.

Cell: 3.6143 3.6143 9.3024 Å, 90.00 90.00 90.00°
With the nearest neighbours (Å) after each atom.
Fractional coordinates of all 4 atoms:
1 Ba 0.0000 0.0000 0.9098  1 Co 2.95
2 Ba 0.5000 0.5000 0.3372  1 Mn 3.01
3 Co 0.0000 0.0000 0.5922  4 Mn 2.63
4 Mn 0.5000 0.5000 0.6607  4 Co 2.63

Properties
E above lowest polymorph ... 177 meV/atom
Calculated formation energy ... 496 meV/atom
Crystal system ... tetragonal
Space-group type ... P4mm
Total magnetic moment ... 5.0 μB per formula unit

No. 3
A plane-wave DFT calculation with PBE was carried out for a geometry-optimized LaW structure.

Cell: 3.3171 3.3171 9.1773 Å, 90.00 90.00 90.00°
With the nearest neighbours (Å) after each atom.
Fractional coordinates of all 4 atoms:
1 La 0.2500 0.2500 0.1890  5 W 3.22-3.50, 4 La 3.32
2 La 0.7500 0.7500 0.8110  5 W 3.22-3.50, 4 La 3.32
3 W 0.2500 0.2500 0.5708  4 W 2.68
4 W 0.7500 0.7500 0.4292  4 W 2.68

Properties
E above lowest polymorph ... 0 meV/atom
Calculated formation energy ... 344 meV/atom
Crystal system ... tetragonal
Space-group type ... P4/nmm
Total magnetic moment ... 0.0 μB per formula unit